Below is a crystal of SrZr2Be relaxed with PBEsol, with properties calculated at the meta-GGA SCAN level.

Output
DOS(E_F) in states/eV/f.u.: 4.82
Space-group type: I4/mmm, No. 139
Formation enthalpy at 0 K in eV per atom: 0.742

Cell: 4.342 4.342 5.538 Å, 113.08 113.08 90.00°
Element x y z (fractional)
Zr 0.750 0.250 0.500
Zr 0.250 0.750 0.500
Sr 0.000 0.000 0.000
Be 0.500 0.500 0.000